# 1
# CoAgO2

A relaxed CoAgO2 crystal (PBE with a Hubbard U, the Alexandria database).

Unit cell a=3.9421 b=3.9421 c=3.9421 alpha=60.00 beta=60.00 gamma=60.00
Site moments in Bohr magnetons follow the coordinates.
Positions (direct):
Co: 0.0000 0.0000 0.0000  2.64
O: 0.2500 0.2500 0.2500  -0.17
O: 0.7500 0.7500 0.7500  -0.17
Ag: 0.5000 0.5000 0.5000  -0.28

Values from the calculation:
**Final energy**: -4.451 eV/atom
**Crystal system**: cubic

# 2
# CoAgO2

A relaxed CoAgO2 crystal (PBE with a Hubbard U, the Alexandria database).

Unit cell a=6.0672 b=6.0672 c=6.0672 alpha=33.18 beta=33.18 gamma=33.18
Site moments in Bohr magnetons follow the coordinates.
Positions (direct):
Co: 0.0000 0.0000 0.0000  2.34
O: 0.8970 0.8970 0.8970  -0.14
O: 0.1030 0.1030 0.1030  -0.14
Ag: 0.5000 0.5000 0.5000  -0.31

Values from the calculation:
**Final energy**: -4.587 eV/atom
**Crystal system**: trigonal

# 3
# CoAgO2

A relaxed CoAgO2 crystal (PBE with a Hubbard U, the Alexandria database).

Unit cell a=2.9020 b=2.9020 c=12.3874 alpha=90.00 beta=90.00 gamma=120.00
Positions (direct):
Co: 0.0000 0.0000 0.0000
Co: 0.0000 0.0000 0.5000
O: 0.6667 0.3333 0.5776
O: 0.3333 0.6667 0.4224
O: 0.6667 0.3333 0.9224
O: 0.3333 0.6667 0.0776
Ag: 0.6667 0.3333 0.7500
Ag: 0.3333 0.6667 0.2500

Values from the calculation:
**Final energy**: -5.178 eV/atom
**Crystal system**: hexagonal

# 4
# Co2AgOsO8

A relaxed Co2AgOsO8 crystal (PBE with a Hubbard U, the Alexandria database).

Unit cell a=4.5477 b=4.4231 c=6.1736 alpha=90.00 beta=90.00 gamma=90.53
Site moments in Bohr magnetons follow the coordinates.
Positions (direct):
Co: 0.5000 0.5000 0.7510  -0.04
Co: 0.5000 0.5000 0.2490  -0.04
Ag: 0.0000 0.0000 0.5000  -0.05
Os: 0.0000 0.0000 0.0000  0.01
O: 0.1920 0.7770 0.2213  -0.01
O: 0.6843 0.7090 0.0000  0.00
O: 0.8080 0.2230 0.2213  -0.01
O: 0.8080 0.2230 0.7787  -0.01
O: 0.3157 0.2910 0.0000  0.00
O: 0.1920 0.7770 0.7787  -0.01
O: 0.6464 0.7061 0.5000  -0.07
O: 0.3536 0.2939 0.5000  -0.07

Values from the calculation:
**Final energy**: -5.911 eV/atom
**Crystal system**: monoclinic

# 5
# CoAgP2O

A relaxed CoAgP2O crystal (PBE with a Hubbard U, the Alexandria database).

Unit cell a=4.8408 b=4.8408 c=3.9534 alpha=90.00 beta=90.00 gamma=90.00
Site moments in Bohr magnetons follow the coordinates.
Positions (direct):
P: 0.0000 0.5000 0.0000  0.07
P: 0.5000 0.0000 0.0000  0.07
Co: 0.5000 0.5000 0.5000  2.25
O: 0.0000 0.0000 0.5000  0.24
Ag: 0.0000 0.0000 0.0000  0.00

Values from the calculation:
**Energy above the most stable polymorph in this dataset**: 842.3 meV/atom
**Crystal system**: tetragonal

# 6
# CoAgP2O6

A relaxed CoAgP2O6 crystal (PBE with a Hubbard U, the Alexandria database).

Unit cell a=4.8494 b=7.6231 c=7.6231 alpha=83.41 beta=74.51 gamma=74.51
Site moments in Bohr magnetons follow the coordinates.
Positions (direct):
Co: 0.2500 0.2033 0.7967  2.67
Co: 0.7500 0.7967 0.2033  2.67
Ag: 0.2500 0.9327 0.0673  0.02
Ag: 0.7500 0.0673 0.9327  0.02
P: 0.2881 0.7982 0.6055  0.01
P: 0.2119 0.3945 0.2018  0.01
P: 0.7119 0.2018 0.3945  0.01
P: 0.7881 0.6055 0.7982  0.01
O: 0.2133 0.9960 0.6493  0.02
O: 0.2867 0.3507 0.0040  0.02
O: 0.7867 0.0040 0.3507  0.02
O: 0.7133 0.6493 0.9960  0.02
O: 0.4200 0.7508 0.4102  0.03
O: 0.0800 0.5898 0.2492  0.03
O: 0.5800 0.2492 0.5898  0.03
O: 0.9200 0.4102 0.7508  0.03
O: 0.9848 0.7334 0.6712  0.00
O: 0.5152 0.3288 0.2666  0.00
O: 0.0152 0.2666 0.3288  0.00
O: 0.4848 0.6712 0.7334  0.00

Values from the calculation:
**Final energy**: -6.387 eV/atom
**Crystal system**: monoclinic

# 7
# CoAgP2O

A relaxed CoAgP2O crystal (PBE with a Hubbard U, the Alexandria database).

Unit cell a=4.6894 b=4.6894 c=3.3898 alpha=90.00 beta=90.00 gamma=90.00
Site moments in Bohr magnetons follow the coordinates.
Positions (direct):
P: 0.0000 0.5000 0.0000  -0.02
P: 0.5000 0.0000 0.0000  -0.02
Co: 0.0000 0.0000 0.0000  1.27
O: 0.0000 0.0000 0.5000  0.33
Ag: 0.5000 0.5000 0.5000  0.00

Values from the calculation:
**Energy above the most stable polymorph in this dataset**: 0.0 meV/atom
**Crystal system**: tetragonal

# 8
# PaCo2AgO8

A relaxed PaCo2AgO8 crystal (PBE with a Hubbard U, the Alexandria database).

Unit cell a=5.9564 b=5.9564 c=5.9564 alpha=107.58 beta=107.58 gamma=113.33
Site moments in Bohr magnetons follow the coordinates.
Positions (direct):
Pa: 0.0000 0.0000 0.0000  0.28
Co: 0.7500 0.2500 0.5000  3.11
Co: 0.5000 0.5000 0.0000  2.16
Ag: 0.2500 0.7500 0.5000  -0.09
O: 0.3817 0.0824 0.2993  0.31
O: 0.3199 0.4979 0.1780  0.21
O: 0.3199 0.1419 0.8220  0.21
O: 0.7832 0.0824 0.7007  0.31
O: 0.8581 0.6801 0.1780  0.21
O: 0.9176 0.2168 0.2993  0.31
O: 0.9176 0.6183 0.7007  0.31
O: 0.5021 0.6801 0.8220  0.21

Values from the calculation:
**Final energy**: -6.403 eV/atom
**Crystal system**: tetragonal

# 9
# Pa2CoAgO8

A relaxed Pa2CoAgO8 crystal (PBE with a Hubbard U, the Alexandria database).

Unit cell a=5.0562 b=5.0562 c=7.1192 alpha=90.00 beta=90.00 gamma=120.00
Site moments in Bohr magnetons follow the coordinates.
Positions (direct):
Pa: 0.6667 0.3333 0.1558  0.01
Pa: 0.3333 0.6667 0.8442  0.01
Co: 0.0000 0.0000 0.0000  1.18
Ag: 0.0000 0.0000 0.5000  0.03
O: 0.8283 0.6567 0.8548  0.07
O: 0.3433 0.1717 0.8548  0.07
O: 0.8283 0.1717 0.8548  0.07
O: 0.1717 0.3433 0.1452  0.07
O: 0.6567 0.8283 0.1452  0.07
O: 0.1717 0.8283 0.1452  0.07
O: 0.6667 0.3333 0.4197  0.01
O: 0.3333 0.6667 0.5803  0.01

Values from the calculation:
**Final energy**: -7.473 eV/atom
**Crystal system**: trigonal

# 10
# PaCoAgO4

A relaxed PaCoAgO4 crystal (PBE with a Hubbard U, the Alexandria database).

Unit cell a=6.1710 b=6.5838 c=7.1592 alpha=122.94 beta=90.00 gamma=117.95
Site moments in Bohr magnetons follow the coordinates.
Positions (direct):
Pa: 0.5000 0.0000 0.5000  0.02
Pa: 0.5000 0.0000 0.0000  0.02
Co: 0.5000 0.5000 0.5000  2.69
Co: 0.0000 0.5000 0.5000  2.69
Ag: 0.8270 0.6540 0.0770  0.02
Ag: 0.1730 0.3460 0.9230  0.02
O: 0.7316 0.4633 0.6831  0.07
O: 0.2904 0.0136 0.2568  0.04
O: 0.7233 0.0136 0.2568  0.04
O: 0.7316 0.4633 0.2802  0.07
O: 0.2684 0.5367 0.7198  0.07
O: 0.7096 0.9864 0.7432  0.04
O: 0.2767 0.9864 0.7432  0.04
O: 0.2684 0.5367 0.3169  0.07

Values from the calculation:
**Final energy**: -7.358 eV/atom
**Crystal system**: orthorhombic

# 11
# PaCoAgO6

A relaxed PaCoAgO6 crystal (PBE with a Hubbard U, the Alexandria database).

Unit cell a=4.7459 b=5.1634 c=5.1634 alpha=120.00 beta=90.00 gamma=90.00
Site moments in Bohr magnetons follow the coordinates.
Positions (direct):
Pa: 0.0000 0.3333 0.6667  0.07
Co: 0.5000 0.0000 0.0000  0.03
Ag: 0.5000 0.6667 0.3333  0.30
O: 0.7297 0.6928 0.6982  0.08
O: 0.7297 0.3018 0.9947  0.08
O: 0.7297 0.0053 0.3072  0.08
O: 0.2703 0.3018 0.3072  0.08
O: 0.2703 0.6928 0.9947  0.08
O: 0.2703 0.0053 0.6982  0.08

Values from the calculation:
**Final energy**: -6.703 eV/atom
**Crystal system**: trigonal

# 12
# CoAg3Pd3O8

A relaxed CoAg3Pd3O8 crystal (PBE with a Hubbard U, the Alexandria database).

Unit cell a=6.1196 b=6.1519 c=6.4426 alpha=110.36 beta=90.00 gamma=119.83
Positions (direct):
Co: 0.0000 0.0000 0.5000
Ag: 0.0000 0.0000 0.0000
Ag: 0.0000 0.5000 0.0000
Ag: 0.5000 0.5000 0.0000
Pd: 0.5000 0.0000 0.5000
Pd: 0.5000 0.5000 0.5000
Pd: 0.0000 0.5000 0.5000
O: 0.2924 0.5847 0.3139
O: 0.7076 0.4153 0.6861
O: 0.8032 0.6065 0.3111
O: 0.1968 0.3935 0.6889
O: 0.8110 0.0784 0.3276
O: 0.1890 0.9216 0.6724
O: 0.2675 0.0784 0.3276
O: 0.7325 0.9216 0.6724

Values from the calculation:
**Final energy**: -4.915 eV/atom
**Crystal system**: monoclinic